# Na3TiO

A relaxed structure of Na3TiO (PBE, Alexandria).

a = 5.9263 Å, b = 5.9263 Å, c = 5.9263 Å
α = 90.00°, β = 90.00°, γ = 90.00°
Space group Pm-3m (No. 221)
One atom of each set of equivalent atoms:
Na 0.0000 0.0000 0.5000 [3 per cell]
Ti 0.0000 0.0000 0.0000 [1 per cell]
O 0.5000 0.5000 0.5000 [1 per cell]

Output
As for the formation energy from raw total energies: 1.24 eV/atom. For the excess energy over the best structure of this formula in the dataset, the calculation gives 1156.5 meV per atom.

=====

# Na2Ti3O7

A relaxed structure of Na2Ti3O7 (PBE, Alexandria).

a = 8.6596 Å, b = 3.8203 Å, c = 9.2391 Å
α = 90.00°, β = 101.76°, γ = 90.00°
Space group P2_1/m (No. 11)
One atom of each set of equivalent atoms:
Na 0.9996 0.2500 0.1577 [2 per cell]
Na 0.1819 0.2500 0.5912 [2 per cell]
Ti 0.2520 0.7500 0.3251 [2 per cell]
Ti 0.3533 0.7500 0.0154 [2 per cell]
Ti 0.4687 0.7500 0.7206 [2 per cell]
O 0.0568 0.7500 0.3456 [2 per cell]
O 0.1760 0.7500 0.0916 [2 per cell]
O 0.2813 0.7500 0.8134 [2 per cell]
O 0.3050 0.2500 0.3178 [2 per cell]
O 0.3492 0.7500 0.5387 [2 per cell]
O 0.4149 0.2500 0.0441 [2 per cell]
O 0.4860 0.7500 0.2470 [2 per cell]

Output
As for the formation energy from raw total energies: -2.76 eV/atom.

=====

# NaTi8O16

A relaxed structure of NaTi8O16 (PBE, Alexandria).

a = 10.3521 Å, b = 5.9784 Å, c = 10.7845 Å
α = 90.00°, β = 117.36°, γ = 90.00°
Space group Cm (No. 8)
One atom of each set of equivalent atoms:
Na 0.0000 0.0000 0.0000 [2 per cell]
Ti 0.1933 0.5000 0.9084 [2 per cell]
Ti 0.1981 0.5000 0.4109 [2 per cell]
Ti 0.2024 0.0000 0.4163 [2 per cell]
Ti 0.2377 0.0000 0.9168 [2 per cell]
Ti 0.3476 0.2518 0.2003 [4 per cell]
Ti 0.3574 0.2538 0.6889 [4 per cell]
O 0.0701 0.2430 0.8379 [4 per cell]
O 0.1700 0.2488 0.5146 [4 per cell]
O 0.2107 0.5000 0.0976 [2 per cell]
O 0.2248 0.0000 0.1059 [2 per cell]
O 0.2680 0.2528 0.3319 [4 per cell]
O 0.2938 0.5000 0.7793 [2 per cell]
O 0.2982 0.0000 0.7778 [2 per cell]
O 0.3500 0.2525 0.0117 [4 per cell]
O 0.3937 0.5000 0.5958 [2 per cell]
O 0.3945 0.0000 0.5964 [2 per cell]
O 0.4940 0.0000 0.2811 [2 per cell]
O 0.4949 0.5000 0.2736 [2 per cell]

Output
As for the formation energy from raw total energies: -2.90 eV/atom.